# 1
VASP calculation (PBE) on a geometry-optimized PmPaAgSb structure.

```
PmPaAgSb
1.0
7.4971 0.0000 0.0000
0.0000 7.4971 0.0000
0.0000 0.0000 7.4971
Pm Pa Ag Sb
4 4 4 4
Cartesian
0.0000 0.0000 0.0000 Pm
0.0000 3.7485 3.7485 Pm
3.7485 0.0000 3.7485 Pm
3.7485 3.7485 0.0000 Pm
0.0000 0.0000 3.7485 Pa
0.0000 3.7485 0.0000 Pa
3.7485 0.0000 0.0000 Pa
3.7485 3.7485 3.7485 Pa
1.8743 1.8743 5.6228 Ag
1.8743 5.6228 1.8743 Ag
5.6228 1.8743 1.8743 Ag
5.6228 5.6228 5.6228 Ag
1.8743 1.8743 1.8743 Sb
1.8743 5.6228 5.6228 Sb
5.6228 1.8743 5.6228 Sb
5.6228 5.6228 1.8743 Sb
```

Summary:
DFT total energy: -5.5106 eV per atom
raw formation energy: -20 kJ per mole of atoms
magnetization: 0.60 μB per atom
DOS(E_F): 39.9 states/eV per cell

***

# 2
VASP calculation (PBE) on a geometry-optimized SrCa3 structure.

```
SrCa3
1.0
7.1778 0.0000 0.0000
0.0000 26.5242 0.0000
0.0000 0.0000 3.8539
Sr Ca
4 12
Cartesian
0.0000 1.7066 0.9635 Sr
0.0000 24.8175 2.8904 Sr
3.5889 11.5554 2.8904 Sr
3.5889 14.9687 0.9635 Sr
0.0000 11.4627 0.9635 Ca
0.0000 15.0614 2.8904 Ca
1.7673 8.2597 2.8904 Ca
1.7673 18.2645 0.9635 Ca
1.8216 5.0024 0.9635 Ca
1.8216 21.5218 2.8904 Ca
3.5889 1.7994 2.8904 Ca
3.5889 24.7248 0.9635 Ca
5.3562 5.0024 0.9635 Ca
5.3562 21.5218 2.8904 Ca
5.4105 8.2597 2.8904 Ca
5.4105 18.2645 0.9635 Ca
```

Summary:
DFT total energy: -1.7765 eV per atom
magnetization: 0.00 μB per atom
DOS(E_F): 22.5 states/eV per cell

***

# 3
VASP calculation (PBE) on a geometry-optimized PmHo2ErSc structure.

```
PmHo2ErSc
1.0
3.1566 -7.9575 0.0000
3.1566 7.9575 0.0000
0.0000 0.0000 6.3148
Pm Ho Er Sc
2 4 2 2
Cartesian
3.1566 5.3874 4.7361 Pm
3.1566 -5.3874 1.5787 Pm
1.5878 0.0000 0.0000 Ho
1.5878 0.0000 3.1574 Ho
4.7255 0.0000 0.0000 Ho
4.7255 0.0000 3.1574 Ho
3.1566 3.9854 1.5787 Er
3.1566 -3.9854 4.7361 Er
3.1566 2.4520 4.7361 Sc
3.1566 -2.4520 1.5787 Sc
```

Summary:
DFT total energy: -4.5884 eV per atom
magnetization: 0.00 μB per atom
DOS(E_F): 16.0 states/eV per cell